First-principles (GGA-PBE) data for FeIrSe2 after structural relaxation, as listed in Alexandria via LeMat-Bulk.

## Properties
DFT total energy: -0.2277 hartree per atom
N(E_F): 0.37 states/eV per atom
formation energy without anion corrections: -0.1222 eV per atom

The structure in CIF format:
```
data_FeIrSe2
_chemical_formula_sum 'Fe1 Ir1 Se2'
_cell_length_a 3.8481
_cell_length_b 3.8487
_cell_length_c 5.8500
_cell_angle_alpha 90.23
_cell_angle_beta 90.00
_cell_angle_gamma 90.00
_symmetry_space_group_name_H-M 'P 1'
_symmetry_Int_Tables_number 1
_symmetry_space_group_name_Hall 'P 1'
loop_
_atom_site_label
_atom_site_fract_x
_atom_site_fract_y
_atom_site_fract_z
_atom_site_occupancy
Fe1 0.0000 0.3750 0.6250 1
Ir1 0.5000 0.8749 0.6250 1
Se1 0.0000 0.8766 0.8702 1
Se2 0.5000 0.3735 0.3798 1
```